(1)
This record from Alexandria describes a geometry-optimized CePr4Au4 structure. The functional is PBE-GGA.

a = 6.3079 Å, b = 9.3220 Å, c = 9.3220 Å
α = 90.00°, β = 90.00°, γ = 90.00°
Last column: nearest neighbours and their distance in Å.
Element x y z (fractional)
Au (0.8930, 0.7201, 0.1167)  1 Ce 2.91, 4 Pr 2.98-3.15, 1 Au 3.12
Au (0.3930, 0.6167, 0.7799)  1 Ce 2.91, 4 Pr 2.98-3.15, 1 Au 3.12
Pr (0.4063, 0.6950, 0.0895)  5 Au 2.98-3.26
Pr (0.4063, 0.3050, 0.9105)  5 Au 2.98-3.26
Au (0.1070, 0.1167, 0.2799)  1 Ce 2.91, 4 Pr 2.98-3.15, 1 Au 3.12
Au (0.3930, 0.3833, 0.2201)  1 Ce 2.91, 4 Pr 2.98-3.15, 1 Au 3.12
Au (0.6070, 0.2201, 0.6167)  1 Ce 2.91, 4 Pr 2.98-3.15, 1 Au 3.12
Pr (0.0937, 0.1950, 0.5895)  5 Au 2.98-3.26
Pr (0.0937, 0.8050, 0.4105)  5 Au 2.98-3.26
Au (0.1070, 0.8833, 0.7201)  1 Ce 2.91, 4 Pr 2.98-3.15, 1 Au 3.12
Au (0.8930, 0.2799, 0.8833)  1 Ce 2.91, 4 Pr 2.98-3.15, 1 Au 3.12
Pr (0.5937, 0.0895, 0.3050)  5 Au 2.98-3.26
Pr (0.9063, 0.4105, 0.1950)  5 Au 2.98-3.26
Pr (0.9063, 0.5895, 0.8050)  5 Au 2.98-3.26
Pr (0.5937, 0.9105, 0.6950)  5 Au 2.98-3.26
Au (0.6070, 0.7799, 0.3833)  1 Ce 2.91, 4 Pr 2.98-3.15, 1 Au 3.12
Ce (0.5000, 0.5000, 0.5000)  4 Au 2.91
Ce (0.0000, 0.0000, 0.0000)  4 Au 2.91

Results
magnetization = 0.112 μB per atom
DFT formation energy = -0.5134 eV per atom



(2)
This record from Alexandria describes a geometry-optimized Ce3PrAu4 structure. The functional is PBE-GGA.

a = 5.2574 Å, b = 7.3808 Å, c = 10.5079 Å
α = 90.00°, β = 90.00°, γ = 90.00°
Last column: nearest neighbours and their distance in Å.
Element x y z (fractional)
Au (0.9973, 0.2468, 0.2500)  6 Ce 3.20-3.23, 2 Pr 3.22
Pr (0.0000, 0.5000, 0.5000)  8 Au 3.22-3.23
Au (0.5000, 0.7537, 0.5000)  6 Ce 3.19-3.23, 2 Pr 3.23
Pr (0.0000, 0.5000, 0.0000)  8 Au 3.22-3.23
Ce (0.4979, 0.5000, 0.2500)  8 Au 3.22-3.23
Au (0.5000, 0.7537, 0.0000)  6 Ce 3.19-3.23, 2 Pr 3.23
Au (0.0027, 0.7532, 0.7500)  6 Ce 3.20-3.23, 2 Pr 3.22
Ce (0.0000, 0.0000, 0.5000)  8 Au 3.20
Au (0.0027, 0.2468, 0.7500)  6 Ce 3.20-3.23, 2 Pr 3.22
Au (0.5000, 0.2463, 0.5000)  6 Ce 3.19-3.23, 2 Pr 3.23
Ce (0.5021, 0.5000, 0.7500)  8 Au 3.22-3.23
Au (0.5000, 0.2463, 0.0000)  6 Ce 3.19-3.23, 2 Pr 3.23
Ce (0.0000, 0.0000, 0.0000)  8 Au 3.20
Au (0.9973, 0.7532, 0.2500)  6 Ce 3.20-3.23, 2 Pr 3.22
Ce (0.4977, 0.0000, 0.2500)  8 Au 3.19-3.20
Ce (0.5023, 0.0000, 0.7500)  8 Au 3.19-3.20

Results
magnetization = 0.406 μB per atom
DFT formation energy = -0.6258 eV per atom



(3)
This record from Alexandria describes a geometry-optimized CePrAu6 structure. The functional is PBE-GGA.

a = 5.6379 Å, b = 5.6368 Å, c = 5.6379 Å
α = 96.82°, β = 97.02°, γ = 96.78°
Last column: nearest neighbours and their distance in Å.
Element x y z (fractional)
Au (0.9731, 0.2491, 0.5271)  4 Au 2.84-2.95, 2 Ce 3.15-3.16, 2 Pr 3.16-3.17
Au (0.2490, 0.5275, 0.9723)  4 Au 2.85-2.96, 2 Ce 3.15-3.16, 2 Pr 3.16
Pr (0.5000, 0.5000, 0.5000)  12 Au 3.16-3.17
Au (0.0269, 0.7509, 0.4729)  4 Au 2.84-2.95, 2 Ce 3.15-3.16, 2 Pr 3.16-3.17
Au (0.7510, 0.4725, 0.0277)  4 Au 2.85-2.96, 2 Ce 3.15-3.16, 2 Pr 3.16
Ce (0.0000, 0.0000, 0.0000)  12 Au 3.15-3.16
Au (0.4720, 0.0274, 0.7508)  4 Au 2.85-2.96, 2 Ce 3.15-3.16, 2 Pr 3.16-3.17
Au (0.5280, 0.9726, 0.2492)  4 Au 2.85-2.96, 2 Ce 3.15-3.16, 2 Pr 3.16-3.17

Results
magnetization = 0.104 μB per atom
DFT formation energy = -0.6226 eV per atom



(4)
This record from Alexandria describes a geometry-optimized CePr2Au3 structure. The functional is PBE-GGA.

a = 3.7079 Å, b = 5.2924 Å, c = 15.8835 Å
α = 90.00°, β = 90.00°, γ = 90.00°
Last column: nearest neighbours and their distance in Å.
Element x y z (fractional)
Ce (0.0021, 0.0000, 0.0000)  8 Au 3.19-3.23
Au (0.5027, 0.5000, 0.0000)  4 Ce 3.23, 4 Pr 3.24
Ce (0.9979, 0.5000, 0.5000)  8 Au 3.19-3.23
Pr (0.9977, 0.0000, 0.6671)  8 Au 3.23-3.28
Pr (0.0023, 0.5000, 0.8329)  8 Au 3.23-3.28
Au (0.4982, 0.5000, 0.6634)  2 Ce 3.19, 6 Pr 3.23-3.28
Au (0.4973, 0.0000, 0.5000)  4 Ce 3.23, 4 Pr 3.24
Au (0.5018, 0.0000, 0.1634)  2 Ce 3.19, 6 Pr 3.23-3.28
Au (0.5018, 0.0000, 0.8366)  2 Ce 3.19, 6 Pr 3.23-3.28
Pr (0.9977, 0.0000, 0.3329)  8 Au 3.23-3.28
Au (0.4982, 0.5000, 0.3366)  2 Ce 3.19, 6 Pr 3.23-3.28
Pr (0.0023, 0.5000, 0.1671)  8 Au 3.23-3.28

Results
magnetization = 0.192 μB per atom
DFT formation energy = -0.6879 eV per atom



(5)
This record from Alexandria describes a geometry-optimized Ce2PrAu4 structure. The functional is PBE-GGA.

a = 5.1869 Å, b = 6.2547 Å, c = 6.2547 Å
α = 107.50°, β = 90.00°, γ = 90.00°
Last column: nearest neighbours and their distance in Å.
Element x y z (fractional)
Au (0.5000, 0.5000, 0.0000)  2 Pr 3.13, 4 Ce 3.21
Pr (0.5000, 0.5000, 0.5000)  8 Au 3.02-3.13
Au (0.0000, 0.7080, 0.7080)  2 Pr 3.02, 4 Ce 3.04-3.29, 1 Au 3.08
Ce (0.0000, 0.7882, 0.2118)  8 Au 3.04-3.29
Au (0.0000, 0.2920, 0.2920)  2 Pr 3.02, 4 Ce 3.04-3.29, 1 Au 3.08
Ce (0.0000, 0.2118, 0.7882)  8 Au 3.04-3.29
Au (0.5000, 0.0000, 0.5000)  2 Pr 3.13, 4 Ce 3.21

Results
magnetization = 0.302 μB per atom
DFT formation energy = -0.5456 eV per atom



(6)
This record from Alexandria describes a geometry-optimized Ce3PrAu7 structure. The functional is PBE-GGA.

a = 3.8374 Å, b = 11.6225 Å, c = 12.6774 Å
α = 90.00°, β = 90.00°, γ = 99.50°
Last column: nearest neighbours and their distance in Å.
Element x y z (fractional)
Au (0.3999, 0.7998, 0.1343)  3 Au 2.91-2.97, 2 Ce 3.21, 2 Pr 3.23
Au (0.4594, 0.9187, 0.5738)  2 Au 2.64-2.86
Ce (0.8079, 0.6158, 0.2500)  8 Au 3.07-3.21
Au (0.6001, 0.2002, 0.8657)  3 Au 2.91-2.97, 2 Ce 3.21, 2 Pr 3.23
Au (0.5406, 0.0813, 0.4262)  2 Au 2.64-2.86
Ce (0.1444, 0.2887, 0.4356)  9 Au 3.06-3.33
Ce (0.1444, 0.2887, 0.0644)  9 Au 3.06-3.33
Ce (0.1921, 0.3842, 0.7500)  8 Au 3.07-3.21
Pr (0.0069, 0.0137, 0.7500)  10 Au 3.14-3.45
Au (0.5406, 0.0813, 0.0738)  2 Au 2.64-2.86
Au (0.4594, 0.9187, 0.9262)  2 Au 2.64-2.86
Au (0.2781, 0.5563, 0.4316)  3 Au 2.89-2.91, 5 Ce 3.07-3.11
Au (0.7219, 0.4437, 0.9316)  3 Au 2.89-2.91, 5 Ce 3.07-3.11
Au (0.6001, 0.2002, 0.6343)  3 Au 2.91-2.97, 2 Ce 3.21, 2 Pr 3.23
Au (0.2781, 0.5563, 0.0684)  3 Au 2.89-2.91, 5 Ce 3.07-3.11
Au (0.3999, 0.7998, 0.3657)  3 Au 2.91-2.97, 2 Ce 3.21, 2 Pr 3.23
Ce (0.8556, 0.7113, 0.5644)  9 Au 3.06-3.33
Au (0.7219, 0.4437, 0.5684)  3 Au 2.89-2.91, 5 Ce 3.07-3.11
Au (0.3817, 0.7634, 0.7500)  2 Au 2.86, 4 Ce 3.09
Ce (0.8556, 0.7113, 0.9356)  9 Au 3.06-3.33
Pr (0.9931, 0.9863, 0.2500)  10 Au 3.14-3.45
Au (0.6183, 0.2366, 0.2500)  2 Au 2.86, 4 Ce 3.09

Results
magnetization = 0.267 μB per atom
DFT formation energy = -0.6143 eV per atom



(7)
This record from Alexandria describes a geometry-optimized Ce2PrAu structure. The functional is PBE-GGA.

a = 5.3093 Å, b = 5.3093 Å, c = 5.3145 Å
α = 60.03°, β = 60.03°, γ = 60.00°
Last column: nearest neighbours and their distance in Å.
Element x y z (fractional)
Pr (0.0000, 0.0000, 0.0000)  8 Ce 3.25-3.26
Au (0.5000, 0.5000, 0.5000)  8 Ce 3.25
Ce (0.7499, 0.7499, 0.7504)  4 Pr 3.25-3.26, 4 Au 3.25
Ce (0.2501, 0.2501, 0.2496)  4 Pr 3.25-3.26, 4 Au 3.25

Results
magnetization = 0.574 μB per atom
DFT formation energy = -0.0896 eV per atom
distance to the lowest polymorph of the same formula = 0.53 eV/f.u.



(8)
This record from Alexandria describes a geometry-optimized Ce5PrAu6 structure. The functional is PBE-GGA.

a = 5.2689 Å, b = 7.3370 Å, c = 9.0732 Å
α = 66.15°, β = 73.20°, γ = 90.00°
Last column: nearest neighbours and their distance in Å.
Element x y z (fractional)
Au (0.8369, 0.5752, 0.3362)  7 Ce 3.18-3.25, 1 Pr 3.25
Ce (0.6599, 0.1633, 0.6735)  8 Au 3.20-3.25
Ce (0.6655, 0.6696, 0.6608)  8 Au 3.18-3.19
Pr (0.0000, 0.0000, 0.0000)  8 Au 3.25-3.26
Au (0.5000, 0.2613, 0.0000)  6 Ce 3.16-3.21, 2 Pr 3.26, 1 Au 3.50
Au (0.8369, 0.0886, 0.3362)  7 Ce 3.18-3.25, 1 Pr 3.25
Au (0.1631, 0.9114, 0.6638)  7 Ce 3.18-3.25, 1 Pr 3.25
Ce (0.0000, 0.5000, 0.0000)  8 Au 3.16-3.19
Au (0.1631, 0.4248, 0.6638)  7 Ce 3.18-3.25, 1 Pr 3.25
Ce (0.3401, 0.8367, 0.3265)  8 Au 3.20-3.25
Au (0.5000, 0.7387, 0.0000)  6 Ce 3.16-3.21, 2 Pr 3.26, 1 Au 3.50
Ce (0.3345, 0.3304, 0.3392)  8 Au 3.18-3.19

Results
magnetization = 0.438 μB per atom
DFT formation energy = -0.6143 eV per atom



(9)
This record from Alexandria describes a geometry-optimized Ce4PrAu5 structure. The functional is PBE-GGA.

a = 3.6749 Å, b = 3.6749 Å, c = 18.8052 Å
α = 90.00°, β = 90.00°, γ = 90.00°
Last column: nearest neighbours and their distance in Å.
Element x y z (fractional)
Au (0.5000, 0.5000, 0.5000)  8 Ce 3.20
Ce (0.0000, 0.0000, 0.5990)  8 Au 3.20
Au (0.5000, 0.5000, 0.3013)  8 Ce 3.20
Au (0.5000, 0.5000, 0.6987)  8 Ce 3.20
Ce (0.0000, 0.0000, 0.4010)  8 Au 3.20
Ce (0.0000, 0.0000, 0.2023)  8 Au 3.20
Pr (0.0000, 0.0000, 0.0000)  8 Au 3.24
Au (0.5000, 0.5000, 0.8969)  4 Ce 3.20, 4 Pr 3.24
Au (0.5000, 0.5000, 0.1031)  4 Ce 3.20, 4 Pr 3.24
Ce (0.0000, 0.0000, 0.7977)  8 Au 3.20

Results
magnetization = 0.417 μB per atom
DFT formation energy = -0.6210 eV per atom



(10)
This record from Alexandria describes a geometry-optimized CePrAu4 structure. The functional is PBE-GGA.

a = 4.0428 Å, b = 4.0428 Å, c = 9.6310 Å
α = 102.12°, β = 102.12°, γ = 90.00°
Last column: nearest neighbours and their distance in Å.
Element x y z (fractional)
Ce (0.0000, 0.0000, 0.0000)  8 Au 3.17
Au (0.5748, 0.5748, 0.1497)  3 Au 2.73-2.75
Au (0.8252, 0.3252, 0.6504)  3 Au 2.73-2.77
Au (0.4252, 0.4252, 0.8503)  3 Au 2.73-2.75
Pr (0.2500, 0.7500, 0.5000)  8 Au 3.18
Au (0.6748, 0.1748, 0.3496)  3 Au 2.73-2.77

Results
magnetization = 0.172 μB per atom
DFT formation energy = -0.6485 eV per atom
distance to the lowest polymorph of the same formula = 0.35 eV/f.u.



(11)
This record from Alexandria describes a geometry-optimized CePr3Au7 structure. The functional is PBE-GGA.

a = 3.8883 Å, b = 11.4635 Å, c = 12.8888 Å
α = 90.00°, β = 90.00°, γ = 99.76°
Last column: nearest neighbours and their distance in Å.
Element x y z (fractional)
Au (0.5359, 0.0717, 0.0808)  2 Au 2.64-2.87
Pr (0.1897, 0.3793, 0.7500)  8 Au 3.13-3.21
Pr (0.1412, 0.2824, 0.0581)  9 Au 3.09-3.31
Au (0.5359, 0.0717, 0.4192)  2 Au 2.64-2.87
Pr (0.8103, 0.6207, 0.2500)  8 Au 3.13-3.21
Au (0.2781, 0.5562, 0.4322)  3 Au 2.91-2.94, 5 Pr 3.10-3.13
Pr (0.1412, 0.2824, 0.4419)  9 Au 3.09-3.31
Au (0.5976, 0.1952, 0.6348)  4 Au 2.94-3.11, 2 Pr 3.21, 2 Ce 3.22
Au (0.4024, 0.8048, 0.1348)  4 Au 2.94-3.11, 2 Pr 3.21, 2 Ce 3.22
Au (0.7219, 0.4438, 0.9322)  3 Au 2.91-2.94, 5 Pr 3.10-3.13
Au (0.6184, 0.2367, 0.2500)  2 Au 2.87, 4 Pr 3.19
Ce (0.9949, 0.9898, 0.2500)  10 Au 3.06-3.40
Au (0.4641, 0.9283, 0.5808)  2 Au 2.64-2.87
Au (0.4641, 0.9283, 0.9192)  2 Au 2.64-2.87
Pr (0.8588, 0.7176, 0.5581)  9 Au 3.09-3.31
Au (0.5976, 0.1952, 0.8652)  4 Au 2.94-3.11, 2 Pr 3.21, 2 Ce 3.22
Au (0.4024, 0.8048, 0.3652)  4 Au 2.94-3.11, 2 Pr 3.21, 2 Ce 3.22
Ce (0.0051, 0.0102, 0.7500)  10 Au 3.06-3.40
Au (0.2781, 0.5562, 0.0678)  3 Au 2.91-2.94, 5 Pr 3.10-3.13
Au (0.3816, 0.7633, 0.7500)  2 Au 2.87, 4 Pr 3.19
Au (0.7219, 0.4438, 0.5678)  3 Au 2.91-2.94, 5 Pr 3.10-3.13
Pr (0.8588, 0.7176, 0.9419)  9 Au 3.09-3.31

Results
magnetization = 0.074 μB per atom
DFT formation energy = -0.6677 eV per atom